# 1
First-principles (GGA-PBE) data for an optimized crystal structure of KLa2As, as listed in the Alexandria database.

Summary:
SG: P4mm
D(E_F), states/eV/cell: 3.28

a = 4.1416 Å, b = 4.1416 Å, c = 9.0713 Å
α = 90.00°, β = 90.00°, γ = 90.00°
Sites, in units of the cell vectors:
K (0.0000, 0.0000, 0.0000)
La (0.0000, 0.0000, 0.6095)
La (0.5000, 0.5000, 0.3799)
As (0.5000, 0.5000, 0.7111)



# 2
First-principles (GGA-PBE) data for an optimized crystal structure of K2LaAs, as listed in the Alexandria database.

Summary:
SG: Immm
D(E_F), states/eV/cell: 4.65

a = 4.1121 Å, b = 4.4371 Å, c = 20.9376 Å
α = 90.00°, β = 90.00°, γ = 90.00°
Sites, in units of the cell vectors:
K (0.0000, 0.0000, 0.1610)
K (0.0000, 0.0000, 0.8390)
K (0.5000, 0.5000, 0.3390)
K (0.5000, 0.5000, 0.6610)
La (0.0000, 0.5000, 0.0000)
La (0.5000, 0.0000, 0.5000)
As (0.0000, 0.5000, 0.5000)
As (0.5000, 0.0000, 0.0000)



# 3
First-principles (GGA-PBE) data for an optimized crystal structure of KLa2As, as listed in the Alexandria database.

Summary:
SG: I-42d
D(E_F), states/eV/cell: 15.19

a = 9.3576 Å, b = 9.3576 Å, c = 7.1515 Å
α = 90.00°, β = 90.00°, γ = 90.00°
Sites, in units of the cell vectors:
K (0.0000, 0.0000, 0.0000)
K (0.0000, 0.5000, 0.2500)
K (0.5000, 0.0000, 0.7500)
K (0.5000, 0.5000, 0.5000)
La (0.1694, 0.2500, 0.6250)
La (0.2500, 0.6694, 0.8750)
La (0.2500, 0.8306, 0.3750)
La (0.3306, 0.2500, 0.1250)
La (0.6694, 0.7500, 0.1250)
La (0.7500, 0.1694, 0.3750)
La (0.7500, 0.3306, 0.8750)
La (0.8306, 0.7500, 0.6250)
As (0.0000, 0.0000, 0.5000)
As (0.0000, 0.5000, 0.7500)
As (0.5000, 0.0000, 0.2500)
As (0.5000, 0.5000, 0.0000)



# 4
First-principles (GGA-PBE) data for an optimized crystal structure of KLa2As, as listed in the Alexandria database.

Summary:
SG: Imm2
D(E_F), states/eV/cell: 9.32

a = 4.0028 Å, b = 4.1009 Å, c = 21.5389 Å
α = 90.00°, β = 90.00°, γ = 90.00°
Sites, in units of the cell vectors:
K (0.0000, 0.0000, 0.0000)
K (0.5000, 0.5000, 0.5000)
La (0.0000, 0.0000, 0.6660)
La (0.0000, 0.5000, 0.8150)
La (0.5000, 0.0000, 0.3150)
La (0.5000, 0.5000, 0.1660)
As (0.0000, 0.5000, 0.2702)
As (0.5000, 0.0000, 0.7702)



# 5
First-principles (GGA-PBE) data for an optimized crystal structure of K2LaAs, as listed in the Alexandria database.

Summary:
SG: P4/mmm
D(E_F), states/eV/cell: 2.78

a = 4.6299 Å, b = 4.6299 Å, c = 6.4035 Å
α = 90.00°, β = 90.00°, γ = 90.00°
Sites, in units of the cell vectors:
K (0.0000, 0.5000, 0.0000)
K (0.5000, 0.0000, 0.0000)
La (0.0000, 0.0000, 0.5000)
As (0.5000, 0.5000, 0.5000)



# 6
First-principles (GGA-PBE) data for an optimized crystal structure of K2LaAs, as listed in the Alexandria database.

Summary:
SG: P4/mmm
D(E_F), states/eV/cell: 3.21

a = 4.9074 Å, b = 4.9074 Å, c = 6.2306 Å
α = 90.00°, β = 90.00°, γ = 90.00°
Sites, in units of the cell vectors:
K (0.0000, 0.0000, 0.2223)
K (0.0000, 0.0000, 0.7777)
La (0.5000, 0.5000, 0.5000)
As (0.5000, 0.5000, 0.0000)



| no. | M_tot (μB per formula unit) | E (eV/cell) | ΔE_f (eV per atom) |
| --- | --- | --- | --- |
| 1 | 0.87 | -17.5 | -0.47 |
| 2 | 0.00 | -27.6 | -0.50 |
| 3 | 0.00 | -65.9 | -0.22 |
| 4 | 0.79 | -34.8 | -0.45 |
| 5 | 0.29 | -12.7 | -0.24 |
| 6 | 0.00 | -11.8 | 0.00 |